[1]
Entry from the Alexandria database: an optimized crystal structure of EuLuHg2 (PBE).

```
data_EuLuHg2
_cell_length_a 3.743
_cell_length_b 3.743
_cell_length_c 7.623
_cell_angle_alpha 90.00
_cell_angle_beta 90.00
_cell_angle_gamma 90.00
_space_group_name_H-M_alt 'P 4/m m m'
_space_group_IT_number 123
_space_group_name_Hall '-P 4 2'
loop_
_atom_site_label
_atom_site_fract_x
_atom_site_fract_y
_atom_site_fract_z
Eu1 0.000 0.000 0.000
Lu1 0.000 0.000 0.500
Hg1 0.500 0.500 0.277
```

Results
Formation energy from the elements (kJ/mol of formula units): -193

[2]
Entry from the Alexandria database: an optimized crystal structure of Tb4Pr6Nd (PBE).

```
data_Tb4Pr6Nd
_cell_length_a 6.632
_cell_length_b 6.632
_cell_length_c 17.791
_cell_angle_alpha 90.00
_cell_angle_beta 90.00
_cell_angle_gamma 90.00
_space_group_name_H-M_alt 'I -4 2 m'
_space_group_IT_number 121
_space_group_name_Hall 'I -4 2'
loop_
_atom_site_label
_atom_site_fract_x
_atom_site_fract_y
_atom_site_fract_z
Tb1 0.186 0.186 0.323
Pr1 0.000 0.500 0.000
Pr2 0.179 0.179 0.136
Nd1 0.000 0.000 0.500
```

Results
Formation energy from the elements (kJ/mol of formula units): 302

[3]
Entry from the Alexandria database: an optimized crystal structure of LiMgSi4 (PBE).

```
data_LiMgSi4
_cell_length_a 7.234
_cell_length_b 7.234
_cell_length_c 7.234
_cell_angle_alpha 90.00
_cell_angle_beta 90.00
_cell_angle_gamma 90.00
_space_group_name_H-M_alt 'F -4 3 m'
_space_group_IT_number 216
_space_group_name_Hall 'F -4 2 3'
loop_
_atom_site_label
_atom_site_fract_x
_atom_site_fract_y
_atom_site_fract_z
Li1 0.000 0.000 0.000
Mg1 0.250 0.250 0.750
Si1 0.125 0.125 0.375
```

Results
E_form (uncorrected) (eV/atom): 0.10

[4]
Entry from the Alexandria database: an optimized crystal structure of Ce3ThBi3 (PBE).

```
data_Ce3ThBi3
_cell_length_a 9.2974
_cell_length_b 9.2974
_cell_length_c 5.8103
_cell_angle_alpha 90.00
_cell_angle_beta 90.00
_cell_angle_gamma 120.00
_space_group_name_H-M_alt 'P 63/m'
_space_group_IT_number 176
_space_group_name_Hall '-P 6c'
loop_
_atom_site_label
_atom_site_fract_x
_atom_site_fract_y
_atom_site_fract_z
Ce1 0.0240 0.7808 0.2500
Th1 0.3333 0.6667 0.2500
Bi1 0.0753 0.6269 0.7500
```

Results
Formation energy from the elements (kJ/mol of formula units): -271

[5]
Entry from the Alexandria database: an optimized crystal structure of Sm2RuO6 (PBE).

```
data_Sm2RuO6
_cell_length_a 3.778
_cell_length_b 5.417
_cell_length_c 10.976
_cell_angle_alpha 90.00
_cell_angle_beta 90.00
_cell_angle_gamma 90.00
_space_group_name_H-M_alt 'I m m m'
_space_group_IT_number 71
_space_group_name_Hall '-I 2 2'
loop_
_atom_site_label
_atom_site_fract_x
_atom_site_fract_y
_atom_site_fract_z
Sm1 0.000 0.000 0.167
Ru1 0.000 0.000 0.500
O1 0.000 0.235 0.353
O2 0.000 0.292 0.000
```

Results
E_form (uncorrected) (eV/atom): -2.07

[6]
Entry from the Alexandria database: an optimized crystal structure of Tm5Tl2O (PBE).

```
data_Tm5Tl2O
_cell_length_a 3.540
_cell_length_b 20.862
_cell_length_c 12.624
_cell_angle_alpha 90.00
_cell_angle_beta 90.00
_cell_angle_gamma 90.00
_space_group_name_H-M_alt 'C m c m'
_space_group_IT_number 63
_space_group_name_Hall '-C 2c 2'
loop_
_atom_site_label
_atom_site_fract_x
_atom_site_fract_y
_atom_site_fract_z
Tm1 0.000 0.085 0.103
Tm2 0.000 0.299 0.750
Tm3 0.000 0.311 0.061
Tl1 0.000 0.064 0.636
O1 0.000 0.135 0.250
```

Results
E_form (uncorrected) (eV/atom): -0.64

[7]
Entry from the Alexandria database: an optimized crystal structure of CdAgHg2 (PBE).

```
data_CdAgHg2
_cell_length_a 9.972
_cell_length_b 3.302
_cell_length_c 5.432
_cell_angle_alpha 90.00
_cell_angle_beta 99.87
_cell_angle_gamma 90.00
_space_group_name_H-M_alt 'C 1 m 1'
_space_group_IT_number 8
loop_
_space_group_symop_operation_xyz
'x,y,z'
'x,-y,z'
'x+1/2,y+1/2,z'
'x+1/2,-y+1/2,z'
loop_
_atom_site_label
_atom_site_fract_x
_atom_site_fract_y
_atom_site_fract_z
Cd1 0.000 0.000 0.000
Ag1 0.261 0.000 0.754
Hg1 0.014 0.500 0.525
Hg2 0.251 0.500 0.242
```

Results
Formation energy from the elements (kJ/mol of formula units): 22

[8]
Entry from the Alexandria database: an optimized crystal structure of Zn2CrPb (PBE).

```
data_Zn2CrPb
_cell_length_a 4.175
_cell_length_b 4.175
_cell_length_c 8.503
_cell_angle_alpha 90.00
_cell_angle_beta 90.00
_cell_angle_gamma 90.00
_space_group_name_H-M_alt 'I -4 m 2'
_space_group_IT_number 119
_space_group_name_Hall 'I -4 -2'
loop_
_atom_site_label
_atom_site_fract_x
_atom_site_fract_y
_atom_site_fract_z
Zn1 0.000 0.000 0.000
Zn2 0.000 0.500 0.250
Cr1 0.000 0.000 0.500
Pb1 0.000 0.500 0.750
```

Results
Formation energy from the elements (kJ/mol of formula units): 139